{
  "formula": "SrCaEu",
  "functional": "PBE-GGA",
  "state": "optimized geometry",
  "space_group": "No. 156",
  "e_form_mev_per_atom": 29,
  "magnetic_moment_mub_per_atom": 2.57,
  "lattice": [[6.409, 0.000, 0.000], [-3.205, 5.550, 0.000], [0.000, 0.000, 3.883]],
  "species": ["Sr", "Ca", "Eu"],
  "frac_coords": [[0.000, 0.000, 0.000], [0.667, 0.333, 0.335], [0.333, 0.667, 0.659]]
}